Material: Pm8CdAg2
Method: DFT, GGA-PBE
State: relaxed

Cell lengths 5.2930, 7.3155, 9.5206 Å; angles 107.18, 106.14, 90.00 degrees
Positions (direct):
Ag1 0.8154 0.2908 0.6308
Ag2 0.1846 0.7092 0.3692
Cd1 0.5000 0.0000 0.0000
Pm1 0.0285 0.7650 0.0570
Pm2 0.5916 0.4650 0.1831
Pm3 0.8075 0.6910 0.6150
Pm4 0.1925 0.3090 0.3850
Pm5 0.3292 0.0273 0.6585
Pm6 0.9715 0.2350 0.9430
Pm7 0.4084 0.5350 0.8169
Pm8 0.6708 0.9727 0.3415

Computed properties:
**Polymorph energy (0 for the lowest one)**: 13 meV/atom
**Formation energy from the elements**: -0.1113 eV/atom
**Symmetry**: C2/m, No. 12